[1]
Entry from the Alexandria database: a relaxed Pm6HoCd2 crystal (PBE).

The total DFT energy (no corrections) comes out at -4.010 eV per atom. For the magnetic moment, the calculation gives 0.00 μB/f.u. The calculation puts the volume at 281.9 Å³/f.u.

Cell: 12.8824 3.8101 12.1375 Å, 90.00 108.86 90.00°
Last column: nearest neighbours and their distance in Å.
Space group C2/m (No. 12)
Inequivalent atoms, fractional coordinates:
Pm1 0.0195 0.0000 0.3370 (multiplicity 4)  2 Cd 3.26, 5 Pm 3.56-3.64
Pm2 0.1847 0.5000 0.8771 (multiplicity 4)  2 Cd 3.29, 5 Pm 3.48-3.59
Pm3 0.1893 0.5000 0.5883 (multiplicity 4)  2 Cd 3.37, 8 Pm 3.53-3.66
Ho1 0.0000 0.0000 0.0000 (multiplicity 2)  4 Cd 3.16
Cd1 0.1421 0.5000 0.1992 (multiplicity 4)  2 Ho 3.16, 6 Pm 3.26-3.37


[2]
Entry from the Alexandria database: a relaxed PmHo2CdRh4 crystal (PBE).

The total DFT energy (no corrections) comes out at -6.234 eV per atom. For the magnetic moment, the calculation gives 0.00 μB/f.u. The calculation puts the volume at 155.2 Å³/f.u.

Cell: 4.7891 4.7891 23.4462 Å, 90.00 90.00 120.00°
Last column: nearest neighbours and their distance in Å.
Space group R-3m (No. 166, hexagonal axes)
Inequivalent atoms, fractional coordinates:
Pm1 0.0000 0.0000 0.0000 (multiplicity 3)  8 Rh 2.89-2.94
Ho1 0.0000 0.0000 0.2424 (multiplicity 6)  7 Rh 2.80-2.98
Cd1 0.0000 0.0000 0.5000 (multiplicity 3)  8 Rh 2.90-2.95
Rh1 0.0000 0.0000 0.1231 (multiplicity 6)  4 Ho 2.80-2.87, 1 Pm 2.89, 3 Cd 2.95
Rh2 0.0000 0.0000 0.3765 (multiplicity 6)  1 Cd 2.90, 3 Pm 2.94, 4 Ho 2.98-3.14


[3]
Entry from the Alexandria database: a relaxed PmHoCdRu crystal (PBE).

The total DFT energy (no corrections) comes out at -5.121 eV per atom. For the magnetic moment, the calculation gives 0.00 μB/f.u. The calculation puts the volume at 93.1 Å³/f.u.

Cell: 7.1938 7.1938 7.1938 Å, 90.00 90.00 90.00°
Last column: nearest neighbours and their distance in Å.
Space group F-43m (No. 216)
Inequivalent atoms, fractional coordinates:
Pm1 0.0000 0.0000 0.0000 (multiplicity 4)  4 Cd 3.11, 4 Ru 3.11
Ho1 0.0000 0.0000 0.5000 (multiplicity 4)  4 Cd 3.11, 4 Ru 3.11
Cd1 0.2500 0.2500 0.7500 (multiplicity 4)  4 Ho 3.11, 4 Pm 3.11
Ru1 0.2500 0.2500 0.2500 (multiplicity 4)  4 Ho 3.11, 4 Pm 3.11


[4]
Entry from the Alexandria database: a relaxed PmHoCdRu crystal (PBE).

The total DFT energy (no corrections) comes out at -5.226 eV per atom. For the magnetic moment, the calculation gives 0.00 μB/f.u. The calculation puts the volume at 95.0 Å³/f.u.

Cell: 3.4993 3.4993 7.7605 Å, 90.00 90.00 90.00°
Last column: nearest neighbours and their distance in Å.
Space group P4mm (No. 99)
Inequivalent atoms, fractional coordinates:
Pm1 0.0000 0.0000 0.0000 (multiplicity 1)  4 Ru 3.03, 1 Ho 3.35, 4 Cd 3.38
Ho1 0.0000 0.0000 0.5685 (multiplicity 1)  4 Ru 2.94, 4 Cd 3.25
Cd1 0.5000 0.5000 0.2964 (multiplicity 1)  4 Ho 3.25, 4 Pm 3.38, 4 Cd 3.50
Ru1 0.5000 0.5000 0.7741 (multiplicity 1)  4 Ho 2.94, 4 Pm 3.03


[5]
Entry from the Alexandria database: a relaxed PmHoScCd crystal (PBE).

The total DFT energy (no corrections) comes out at -4.193 eV per atom. For the magnetic moment, the calculation gives 0.01 μB/f.u. The calculation puts the volume at 110.0 Å³/f.u.

Cell: 7.6056 7.6056 7.6056 Å, 90.00 90.00 90.00°
Last column: nearest neighbours and their distance in Å.
Space group F-43m (No. 216)
Inequivalent atoms, fractional coordinates:
Pm1 0.0000 0.0000 0.0000 (multiplicity 4)  4 Sc 3.29, 4 Cd 3.29
Ho1 0.0000 0.0000 0.5000 (multiplicity 4)  4 Cd 3.29, 4 Sc 3.29
Sc1 0.2500 0.2500 0.2500 (multiplicity 4)  4 Ho 3.29, 4 Pm 3.29
Cd1 0.2500 0.2500 0.7500 (multiplicity 4)  4 Ho 3.29, 4 Pm 3.29


[6]
Entry from the Alexandria database: a relaxed PmHoScCd crystal (PBE).

The total DFT energy (no corrections) comes out at -4.271 eV per atom. For the magnetic moment, the calculation gives 0.00 μB/f.u. The calculation puts the volume at 109.9 Å³/f.u.

Cell: 3.5335 3.5335 8.8031 Å, 90.00 90.00 90.00°
Last column: nearest neighbours and their distance in Å.
Space group P4mm (No. 99)
Inequivalent atoms, fractional coordinates:
Pm1 0.0000 0.0000 0.0000 (multiplicity 1)  4 Sc 3.44, 4 Pm 3.53, 4 Ho 3.58
Ho1 0.5000 0.5000 0.7082 (multiplicity 1)  4 Cd 3.27, 4 Ho 3.53, 4 Pm 3.58
Sc1 0.5000 0.5000 0.2686 (multiplicity 1)  4 Cd 3.06
Cd1 0.0000 0.0000 0.4692 (multiplicity 1)  4 Sc 3.06, 4 Ho 3.27


[7]
Entry from the Alexandria database: a relaxed PmHoCdSi crystal (PBE).

As for the formation energy without anion corrections: -147 kJ/mol of formula units. For the magnetic moment, the calculation gives 0.00 μB/f.u. The calculation puts the volume at 96.9 Å³/f.u.

Cell: 7.2913 7.2913 7.2913 Å, 90.00 90.00 90.00°
Last column: nearest neighbours and their distance in Å.
Space group F-43m (No. 216)
Inequivalent atoms, fractional coordinates:
Pm1 0.0000 0.0000 0.0000 (multiplicity 4)  4 Cd 3.16, 4 Si 3.16
Ho1 0.0000 0.0000 0.5000 (multiplicity 4)  4 Cd 3.16, 4 Si 3.16
Cd1 0.2500 0.2500 0.2500 (multiplicity 4)  4 Ho 3.16, 4 Pm 3.16
Si1 0.2500 0.2500 0.7500 (multiplicity 4)  4 Ho 3.16, 4 Pm 3.16


[8]
Entry from the Alexandria database: a relaxed PmHoCdSn crystal (PBE).

The total DFT energy (no corrections) comes out at -4.068 eV per atom. For the magnetic moment, the calculation gives 0.00 μB/f.u. The calculation puts the volume at 107.5 Å³/f.u.

Cell: 7.5469 7.5469 7.5469 Å, 90.00 90.00 90.00°
Last column: nearest neighbours and their distance in Å.
Space group F-43m (No. 216)
Inequivalent atoms, fractional coordinates:
Pm1 0.0000 0.0000 0.0000 (multiplicity 4)  4 Sn 3.27, 4 Cd 3.27
Ho1 0.0000 0.0000 0.5000 (multiplicity 4)  4 Cd 3.27, 4 Sn 3.27
Cd1 0.2500 0.2500 0.2500 (multiplicity 4)  4 Ho 3.27, 4 Pm 3.27
Sn1 0.2500 0.2500 0.7500 (multiplicity 4)  4 Ho 3.27, 4 Pm 3.27


[9]
Entry from the Alexandria database: a relaxed PmHoCdTc crystal (PBE).

The total DFT energy (no corrections) comes out at -5.203 eV per atom. For the magnetic moment, the calculation gives 0.00 μB/f.u. The calculation puts the volume at 93.3 Å³/f.u.

Cell: 7.2008 7.2008 7.2008 Å, 90.00 90.00 90.00°
Last column: nearest neighbours and their distance in Å.
Space group F-43m (No. 216)
Inequivalent atoms, fractional coordinates:
Pm1 0.0000 0.0000 0.0000 (multiplicity 4)  4 Cd 3.12, 4 Tc 3.12
Ho1 0.0000 0.0000 0.5000 (multiplicity 4)  4 Cd 3.12, 4 Tc 3.12
Cd1 0.2500 0.2500 0.7500 (multiplicity 4)  4 Pm 3.12, 4 Ho 3.12
Tc1 0.2500 0.2500 0.2500 (multiplicity 4)  4 Ho 3.12, 4 Pm 3.12


[10]
Entry from the Alexandria database: a relaxed PmHoZnCd crystal (PBE).

The total DFT energy (no corrections) comes out at -3.206 eV per atom. For the magnetic moment, the calculation gives 0.00 μB/f.u. The calculation puts the volume at 100.6 Å³/f.u.

Cell: 3.6256 3.6256 7.6532 Å, 90.00 90.00 90.00°
Last column: nearest neighbours and their distance in Å.
Space group P4mm (No. 99)
Inequivalent atoms, fractional coordinates:
Pm1 0.0000 0.0000 0.0000 (multiplicity 1)  4 Zn 3.18, 4 Cd 3.36, 1 Ho 3.52
Ho1 0.0000 0.0000 0.4601 (multiplicity 1)  4 Zn 3.05, 4 Cd 3.23
Zn1 0.5000 0.5000 0.2453 (multiplicity 1)  4 Ho 3.05, 4 Pm 3.18
Cd1 0.5000 0.5000 0.7167 (multiplicity 1)  4 Ho 3.23, 4 Pm 3.36, 1 Zn 3.61


[11]
Entry from the Alexandria database: a relaxed PmHoZnCd crystal (PBE).

The total DFT energy (no corrections) comes out at -3.180 eV per atom. For the magnetic moment, the calculation gives 0.00 μB/f.u. The calculation puts the volume at 101.6 Å³/f.u.

Cell: 7.4075 7.4075 7.4075 Å, 90.00 90.00 90.00°
Last column: nearest neighbours and their distance in Å.
Space group F-43m (No. 216)
Inequivalent atoms, fractional coordinates:
Pm1 0.0000 0.0000 0.0000 (multiplicity 4)  4 Cd 3.21, 4 Zn 3.21
Ho1 0.0000 0.0000 0.5000 (multiplicity 4)  4 Cd 3.21, 4 Zn 3.21
Zn1 0.2500 0.2500 0.7500 (multiplicity 4)  4 Ho 3.21, 4 Pm 3.21
Cd1 0.2500 0.2500 0.2500 (multiplicity 4)  4 Ho 3.21, 4 Pm 3.21


[12]
Entry from the Alexandria database: a relaxed Pr6HoCd2 crystal (PBE).

The total DFT energy (no corrections) comes out at -3.968 eV per atom. For the magnetic moment, the calculation gives 0.00 μB/f.u. The calculation puts the volume at 291.8 Å³/f.u.

Cell: 15.8362 11.8134 6.2740 Å, 90.00 96.01 90.00°
Last column: nearest neighbours and their distance in Å.
Space group C2/c (No. 15)
Inequivalent atoms, fractional coordinates:
Pr1 0.0571 0.1269 0.0092 (multiplicity 8)  3 Cd 3.27-3.50, 4 Pr 3.33-3.55, 1 Ho 3.66
Pr2 0.1165 0.3497 0.3135 (multiplicity 8)  2 Cd 3.25-3.47, 3 Pr 3.33-3.60, 2 Ho 3.50-3.51
Pr3 0.2232 0.3723 0.8365 (multiplicity 8)  3 Cd 3.37-3.45, 5 Pr 3.51-3.69, 1 Ho 3.53
Ho1 0.0000 0.3976 0.7500 (multiplicity 4)  10 Pr 3.50-3.85
Cd1 0.1646 0.1221 0.5910 (multiplicity 8)  8 Pr 3.25-3.50